Entry 1:
# LaTmO3 PBE-GGA optimized geometry
data_LaTmO3
_symmetry_space_group_name_H-M 'P 4 m m'
_symmetry_Int_Tables_number 99
_cell_length_a 4.0864
_cell_length_b 4.0864
_cell_length_c 4.7500
_cell_angle_alpha 90.00
_cell_angle_beta 90.00
_cell_angle_gamma 90.00
loop_
_symmetry_equiv_pos_as_xyz
'x,y,z'
'-y,x,z'
'-x,-y,z'
'y,-x,z'
'-x,y,z'
'y,x,z'
'x,-y,z'
'-y,-x,z'
loop_
_atom_site_label
_atom_site_fract_x
_atom_site_fract_y
_atom_site_fract_z
La1 0.0000 0.0000 0.0000
Tm1 0.5000 0.5000 0.5886
O1 0.0000 0.5000 0.7237
O2 0.5000 0.5000 0.1464
# Mass density   7.4 g/cm3

=====

Entry 2:
# Sm5Mg PBE-GGA optimized geometry
data_Sm5Mg
_symmetry_space_group_name_H-M 'P -6 m 2'
_symmetry_Int_Tables_number 187
_symmetry_space_group_name_Hall 'P -6 2'
_cell_length_a 3.6247
_cell_length_b 3.6247
_cell_length_c 17.3385
_cell_angle_alpha 90.00
_cell_angle_beta 90.00
_cell_angle_gamma 120.00
loop_
_atom_site_label
_atom_site_fract_x
_atom_site_fract_y
_atom_site_fract_z
Sm1 0.0000 0.0000 0.0000
Sm2 0.0000 0.0000 0.3415
Sm3 0.6667 0.3333 0.1713
Mg1 0.6667 0.3333 0.5000
# Distance to the lowest polymorph of the same formula   0 meV/atom
# Mass density   6.5 g/cm3

=====

Listing uncorrected energy for the structures above in their given order: -8.212 -4.146 eV per atom.